[1]
First-principles (GGA-PBE) data for Ca2ZrNbW after structural relaxation, as listed in the Alexandria database.

Computed properties:
Formation energy from the elements = 1.350 eV/atom
DOS at the Fermi energy = 1.332 states/eV/atom

a = 5.5186 Å, b = 5.5186 Å, c = 4.8075 Å
α = 90.00°, β = 90.00°, γ = 90.00°
Closest atoms and distances in Å follow each position.
Space group P4/mmm (No. 123)
Inequivalent atoms, fractional coordinates:
Ca: 0.0000 0.5000 0.0000 [2 per cell]  2 W 2.76
Zr: 0.0000 0.0000 0.5000 [1 per cell]  8 Ca 3.66, 4 Nb 3.90
Nb: 0.5000 0.5000 0.5000 [1 per cell]  2 W 2.40
W: 0.5000 0.5000 0.0000 [1 per cell]  2 Nb 2.40

***

[2]
First-principles (GGA-PBE) data for SiMo4Au after structural relaxation, as listed in the Alexandria database.

Computed properties:
E_form (uncorrected) = 3.395 eV per formula unit
DOS at the Fermi energy = 0.924 states/eV/atom

a = 7.3891 Å, b = 7.3891 Å, c = 7.3891 Å
α = 90.00°, β = 90.00°, γ = 90.00°
Closest atoms and distances in Å follow each position.
Space group F-43m (No. 216)
Inequivalent atoms, fractional coordinates:
Si: 0.0000 0.0000 0.0000 [4 per cell]  12 Mo 3.06, 4 Au 3.20
Mo: 0.1244 0.1244 0.3756 [16 per cell]  6 Mo 2.60-2.62
Au: 0.2500 0.2500 0.7500 [4 per cell]  12 Mo 3.06, 4 Si 3.20

***

[3]
First-principles (GGA-PBE) data for Zr2Mn2Fe after structural relaxation, as listed in the Alexandria database.

Computed properties:
Formation energy from the elements = 0.034 eV/atom
DOS at the Fermi energy = 1.160 states/eV/atom

a = 6.1917 Å, b = 6.1917 Å, c = 4.1530 Å
α = 90.00°, β = 90.00°, γ = 90.00°
Closest atoms and distances in Å follow each position.
Space group P4/mbm (No. 127)
Inequivalent atoms, fractional coordinates:
Zr: 0.1838 0.3162 0.0000 [4 per cell]  6 Mn 2.70-2.82
Mn: 0.1186 0.6186 0.5000 [4 per cell]  1 Mn 2.08
Fe: 0.0000 0.0000 0.5000 [2 per cell]  4 Mn 2.47